# 1
Entry from Alexandria via LeMat-Bulk: crystalline Mn2CoRe at its relaxed geometry (PBE).

Computed properties:
V in Å³/atom: 12.4
Formation energy from the elements in eV/f.u.: 0.48

Unit cell a=3.0077 b=4.1376 c=8.0012 alpha=90.00 beta=90.00 gamma=90.00
With the nearest neighbours (Å) after each atom.
Space group Immm (No. 71)
Unique sites:
Mn: 0.0000 0.0000 0.2467 (multiplicity 4)  2 Co 2.48, 2 Re 2.52, 4 Mn 2.56
Co: 0.0000 0.5000 0.5000 (multiplicity 2)  4 Mn 2.48, 4 Re 2.56
Re: 0.0000 0.5000 0.0000 (multiplicity 2)  4 Mn 2.52, 4 Co 2.56



# 2
Entry from Alexandria via LeMat-Bulk: crystalline Tb2PmCdC at its relaxed geometry (PBE).

Computed properties:
V in Å³/atom: 25.1
Formation energy from the elements in eV/f.u.: -1.24

Unit cell a=4.9403 b=4.9403 c=5.1327 alpha=90.00 beta=90.00 gamma=90.00
With the nearest neighbours (Å) after each atom.
Space group P4/mmm (No. 123)
Unique sites:
Tb: 0.0000 0.5000 0.0000 (multiplicity 2)  2 C 2.47
Pm: 0.0000 0.0000 0.5000 (multiplicity 1)  2 C 2.57
Cd: 0.5000 0.5000 0.5000 (multiplicity 1)  4 Pm 3.49, 8 Tb 3.56
C: 0.0000 0.0000 0.0000 (multiplicity 1)  4 Tb 2.47, 2 Pm 2.57